Density functional theory data (GGA+U) for BaAgW2O8 after structural relaxation.

Cell lengths 7.895, 7.895, 7.241 Å; angles 90.00, 90.00, 90.00 degrees
Space group I-4m2 (No. 119)
Asymmetric unit:
Ba: 0.000 0.000 0.000 x2
Ag: 0.000 0.500 0.250 x2
W: 0.000 0.000 0.500 x2
W: 0.000 0.500 0.750 x2
O: 0.000 0.184 0.348 x8
O: 0.000 0.318 0.902 x8

VASP energy   -158.728 eV/cell